! CeSmAlAu PBE optimized geometry; values from VASP
&SYSTEM
  ibrav = 0, nat = 16, ntyp = 4
/
ATOMIC_SPECIES
Ce 140.12 Ce.upf
Sm 150.36 Sm.upf
Al 26.98 Al.upf
Au 196.97 Au.upf
ATOMIC_POSITIONS crystal
Ce 0.000 0.000 0.000
Ce 0.000 0.500 0.500
Ce 0.500 0.000 0.500
Ce 0.500 0.500 0.000
Sm 0.000 0.000 0.500
Sm 0.000 0.500 0.000
Sm 0.500 0.000 0.000
Sm 0.500 0.500 0.500
Al 0.250 0.250 0.250
Al 0.250 0.750 0.750
Al 0.750 0.250 0.750
Al 0.750 0.750 0.250
Au 0.250 0.250 0.750
Au 0.250 0.750 0.250
Au 0.750 0.250 0.250
Au 0.750 0.750 0.750
CELL_PARAMETERS angstrom
7.420 0.000 0.000
0.000 7.420 0.000
0.000 0.000 7.420
! **Size of the total moment**: 5.4 Bohr magnetons per cell
! **Symmetry**: No. 216
! **Formation energy from the elements**: -1.65 eV/f.u.

! KTl2WBr8 PBE optimized geometry; values from VASP
&SYSTEM
  ibrav = 0, nat = 12, ntyp = 4
/
ATOMIC_SPECIES
K 39.10 K.upf
Tl 204.38 Tl.upf
W 183.84 W.upf
Br 79.90 Br.upf
ATOMIC_POSITIONS crystal
K 0.000 0.000 0.000
Tl 0.499 0.501 0.760
Tl 0.501 0.499 0.240
W 0.000 0.000 0.500
Br 0.116 0.199 0.311
Br 0.119 0.197 0.689
Br 0.335 0.834 0.499
Br 0.418 0.753 0.000
Br 0.582 0.247 0.000
Br 0.665 0.166 0.501
Br 0.881 0.803 0.311
Br 0.884 0.801 0.689
CELL_PARAMETERS angstrom
6.666 0.000 0.000
0.727 7.775 0.000
0.001 0.021 9.448
! **Size of the total moment**: 1.0 Bohr magnetons per cell
! **Symmetry**: No. 2
! **E_form (uncorrected)**: -0.764 eV per atom

! Na2SrPuO6 PBE optimized geometry; values from VASP
&SYSTEM
  ibrav = 0, nat = 20, ntyp = 4
/
ATOMIC_SPECIES
Na 22.99 Na.upf
Sr 87.62 Sr.upf
Pu 244.00 Pu.upf
O 16.00 O.upf
ATOMIC_POSITIONS crystal
Na 0.233 0.040 0.236
Na 0.233 0.460 0.736
Na 0.767 0.540 0.264
Na 0.767 0.960 0.764
Sr 0.000 0.000 0.500
Sr 0.000 0.500 0.000
Pu 0.500 0.000 0.000
Pu 0.500 0.500 0.500
O 0.173 0.161 0.958
O 0.173 0.339 0.458
O 0.271 0.730 0.922
O 0.271 0.770 0.422
O 0.393 0.073 0.783
O 0.393 0.427 0.283
O 0.607 0.573 0.717
O 0.607 0.927 0.217
O 0.729 0.230 0.578
O 0.729 0.270 0.078
O 0.827 0.661 0.542
O 0.827 0.839 0.042
CELL_PARAMETERS angstrom
5.853 0.000 0.000
0.000 6.089 0.000
-5.775 0.000 8.427
! **Size of the total moment**: 0.0 Bohr magnetons per cell
! **Symmetry**: No. 14
! **E_form (uncorrected)**: -2.196 eV per atom

! B2C PBE optimized geometry; values from VASP
&SYSTEM
  ibrav = 0, nat = 12, ntyp = 2
/
ATOMIC_SPECIES
B 10.81 B.upf
C 12.01 C.upf
ATOMIC_POSITIONS crystal
B 0.096 0.096 0.215
B 0.107 0.107 0.616
B 0.213 0.213 0.471
B 0.278 0.278 0.210
B 0.722 0.722 0.790
B 0.787 0.787 0.529
B 0.893 0.893 0.384
B 0.904 0.904 0.785
C 0.399 0.399 0.230
C 0.440 0.440 0.951
C 0.560 0.560 0.049
C 0.601 0.601 0.770
CELL_PARAMETERS angstrom
6.874 -1.378 0.000
6.874 1.378 0.000
-1.055 0.000 4.551
! **Size of the total moment**: 0.0 Bohr magnetons per cell
! **Symmetry**: No. 12
! **Energy relative to the lowest polymorph listed for this composition**: 0.201 eV/atom
! **Formation energy from the elements**: 1.16 eV/f.u.

> Look up the size of the total moment of the second one.

1.0 Bohr magnetons per cell